Record 1
Compound: TaNbSnO6
Source: the Alexandria database
Functional: GGA-PBE
Structure: optimized geometry

Cell: 5.366 5.366 10.484 Å, 90.00 90.00 120.00°
Fractional positions:
1 Ta 0.333 0.667 0.250
2 Ta 0.667 0.333 0.750
3 Nb 0.333 0.667 0.750
4 Nb 0.667 0.333 0.250
5 Sn 0.000 0.000 0.000
6 Sn 0.000 0.000 0.500
7 O 0.002 0.378 0.145
8 O 0.002 0.624 0.355
9 O 0.376 0.378 0.355
10 O 0.376 0.998 0.145
11 O 0.378 0.002 0.645
12 O 0.378 0.376 0.855
13 O 0.622 0.624 0.145
14 O 0.622 0.998 0.355
15 O 0.624 0.002 0.855
16 O 0.624 0.622 0.645
17 O 0.998 0.376 0.645
18 O 0.998 0.622 0.855

Values from the calculation:
Symmetry: P-31c
DOS at the Fermi energy, states/eV per atom: 0.00
E_form (uncorrected), eV/atom: -2.35
Electronic total energy, eV for the cell shown: -153.69

=====

Record 2
Compound: TiNbSn2O6
Source: the Alexandria database
Functional: GGA-PBE
Structure: optimized geometry

Cell: 5.690 5.690 5.690 Å, 60.00 60.00 60.00°
Fractional positions:
1 Ti 0.000 0.000 0.000
2 Nb 0.500 0.500 0.500
3 Sn 0.250 0.250 0.250
4 Sn 0.750 0.750 0.750
5 O 0.247 0.247 0.753
6 O 0.247 0.753 0.247
7 O 0.247 0.753 0.753
8 O 0.753 0.247 0.247
9 O 0.753 0.247 0.753
10 O 0.753 0.753 0.247

Values from the calculation:
Symmetry: Fm-3m
DOS at the Fermi energy, states/eV per atom: 0.30
E_form (uncorrected), eV/atom: -2.01
Electronic total energy, eV for the cell shown: -75.80

=====

Record 3
Compound: NbTlSnO4
Source: the Alexandria database
Functional: GGA-PBE
Structure: optimized geometry

Cell: 7.129 6.053 8.138 Å, 90.00 109.92 90.00°
Fractional positions:
1 Nb 0.151 0.250 0.262
2 Nb 0.849 0.750 0.738
3 Tl 0.253 0.750 0.553
4 Tl 0.747 0.250 0.447
5 Sn 0.387 0.750 0.105
6 Sn 0.613 0.250 0.895
7 O 0.110 0.750 0.900
8 O 0.129 0.250 0.480
9 O 0.297 0.508 0.250
10 O 0.297 0.992 0.250
11 O 0.703 0.008 0.750
12 O 0.703 0.492 0.750
13 O 0.871 0.750 0.520
14 O 0.890 0.250 0.100

Values from the calculation:
Symmetry: P2_1/m
DOS at the Fermi energy, states/eV per atom: 0.00
E_form (uncorrected), eV/atom: -1.81
Electronic total energy, eV for the cell shown: -97.84

=====

Record 4
Compound: Nb2Tl3SnO8
Source: the Alexandria database
Functional: GGA-PBE
Structure: optimized geometry

Cell: 6.235 6.235 7.799 Å, 90.00 90.00 120.00°
Fractional positions:
1 Nb 0.333 0.667 0.247
2 Nb 0.667 0.333 0.753
3 Tl 0.000 0.000 0.000
4 Tl 0.333 0.667 0.698
5 Tl 0.667 0.333 0.302
6 Sn 0.000 0.000 0.500
7 O 0.166 0.332 0.323
8 O 0.166 0.834 0.323
9 O 0.332 0.166 0.677
10 O 0.333 0.667 0.013
11 O 0.667 0.333 0.987
12 O 0.668 0.834 0.323
13 O 0.834 0.166 0.677
14 O 0.834 0.668 0.677

Values from the calculation:
Symmetry: P-3m1
DOS at the Fermi energy, states/eV per atom: 0.26
E_form (uncorrected), eV/atom: -1.69
Electronic total energy, eV for the cell shown: -94.63

=====

Q: What is the formula in the third record?
A: NbTlSnO4

=====

Q: Which value of electronic total energy does entry 2 give?
A: -75.80 eV for the cell shown

=====

Q: The lowest electronic total energy belongs to which entry?
A: TaNbSnO6

=====

Q: What is the formula in the second record?
A: TiNbSn2O6